# La3Tl2Rh, relaxed, DFT GGA-PBE
# - Theoretical density: 8.4 g cm⁻³
# - DOS(E_F): 1.05 states/eV per atom
# - Energy of formation: -0.481 eV/atom
data_La3Tl2Rh
_chemical_formula_sum 'La6 Tl4 Rh2'
_cell_length_a 5.450
_cell_length_b 7.711
_cell_length_c 9.127
_cell_angle_alpha 90.00
_cell_angle_beta 107.32
_cell_angle_gamma 90.00
_symmetry_space_group_name_H-M 'P 1 21/m 1'
_symmetry_Int_Tables_number 11
_symmetry_space_group_name_Hall '-P 2yb'
loop_
_atom_site_label
_atom_site_type_symbol
_atom_site_fract_x
_atom_site_fract_y
_atom_site_fract_z
_atom_site_occupancy
La1 La 0.001 0.250 0.000 1
La2 La 0.368 0.000 0.736 1
Tl1 Tl 0.194 0.750 0.389 1
Tl2 Tl 0.195 0.250 0.389 1
Rh1 Rh 0.499 0.750 0.000 1